VASP calculation (GGA-PBE) on an optimized crystal structure of Er5ScCu4.

Cell: 3.4227 3.4226 18.5645 Å, 90.00 90.00 90.00°
Fractional coordinates of all 10 atoms:
1 Cu 0.0000 0.0000 0.4072
2 Sc 0.0000 0.0000 0.0000
3 Cu 0.0000 0.0000 0.5928
4 Cu 0.0000 0.0000 0.2201
5 Er 0.5000 0.5000 0.3130
6 Er 0.5000 0.5000 0.5000
7 Er 0.5000 0.5000 0.8721
8 Cu 0.0000 0.0000 0.7799
9 Er 0.5000 0.5000 0.6870
10 Er 0.5000 0.5000 0.1279

Calculated volume ... 217.5 Å³ per cell
Calculated total energy ... -47.6 eV for the cell shown
DOS(E_F) ... 8.1 states/eV/cell
Symmetry ... No. 123
Energy of formation ... -20.2 kJ per mole of atoms

VASP calculation (GGA-PBE) on an optimized crystal structure of Ti2ZnNi4.

Cell: 4.2623 4.2623 6.7867 Å, 71.70 71.70 90.00°
Fractional coordinates of all 7 atoms:
1 Ni 0.8060 0.8060 0.3879
2 Ni 0.0000 0.5000 0.0000
3 Zn 0.0000 0.0000 0.0000
4 Ti 0.6238 0.6238 0.7525
5 Ni 0.1940 0.1940 0.6121
6 Ni 0.5000 0.0000 0.0000
7 Ti 0.3762 0.3762 0.2475

E above lowest polymorph ... 735.8 meV per atom
Calculated volume ... 110.5 Å³ per cell
Calculated total energy ... -36.6 eV for the cell shown
DOS(E_F) ... 7.2 states/eV/cell
Symmetry ... No. 139
Energy of formation ... 49.6 kJ per mole of atoms

VASP calculation (GGA-PBE) on an optimized crystal structure of Cr2TeCl.

Cell: 6.0670 6.0670 7.4627 Å, 66.02 66.02 90.00°
Fractional coordinates of all 8 atoms:
1 Cl 0.2500 0.7500 0.5000
2 Cr 0.3750 0.3931 0.7500
3 Cr 0.6069 0.1250 0.2500
4 Te 0.7500 0.2500 0.5000
5 Te 0.0000 0.0000 0.0000
6 Cr 0.8750 0.8569 0.7500
7 Cr 0.1431 0.6250 0.2500
8 Cl 0.5000 0.5000 0.0000

E above lowest polymorph ... 82.7 meV per atom
Calculated volume ... 224.8 Å³ per cell
Calculated total energy ... -48.3 eV for the cell shown
Raw formation energy ... 0.03 eV per atom
DOS(E_F) ... 1.8 states/eV/cell
Symmetry ... No. 122

VASP calculation (GGA-PBE) on an optimized crystal structure of Pr2SmPa2Rh5.

Cell: 3.6425 11.0759 11.0759 Å, 90.00 90.00 90.00°
Fractional coordinates of all 20 atoms:
1 Sm 0.0000 0.5000 0.5000
2 Rh 0.5000 0.0000 0.5000
3 Rh 0.5000 0.4491 0.2909
4 Pr 0.0000 0.1730 0.3270
5 Pr 0.0000 0.8270 0.6730
6 Sm 0.0000 0.0000 0.0000
7 Rh 0.5000 0.5000 0.0000
8 Rh 0.5000 0.2909 0.5509
9 Rh 0.5000 0.7091 0.4491
10 Rh 0.5000 0.9491 0.2091
11 Pa 0.0000 0.3652 0.1348
12 Rh 0.5000 0.5509 0.7091
13 Pa 0.0000 0.6348 0.8652
14 Pr 0.0000 0.6730 0.1730
15 Pr 0.0000 0.3270 0.8270
16 Pa 0.0000 0.8652 0.3652
17 Pa 0.0000 0.1348 0.6348
18 Rh 0.5000 0.2091 0.0509
19 Rh 0.5000 0.7909 0.9491
20 Rh 0.5000 0.0509 0.7909

Calculated volume ... 446.8 Å³ per cell
Calculated total energy ... -152.6 eV for the cell shown
DOS(E_F) ... 18.8 states/eV/cell
Symmetry ... No. 127
Energy of formation ... -60.5 kJ per mole of atoms

VASP calculation (GGA-PBE) on an optimized crystal structure of NaRePd.

Cell: 7.8450 3.6148 7.9195 Å, 90.00 90.00 90.00°
Fractional coordinates of all 12 atoms:
1 Re 0.4084 0.2500 0.0402
2 Re 0.5916 0.7500 0.9598
3 Re 0.9084 0.2500 0.4598
4 Na 0.0301 0.7500 0.1413
5 Na 0.4699 0.2500 0.6413
6 Na 0.9699 0.2500 0.8587
7 Pd 0.2635 0.7500 0.8249
8 Re 0.0916 0.7500 0.5402
9 Pd 0.7365 0.2500 0.1751
10 Na 0.5301 0.7500 0.3587
11 Pd 0.2365 0.2500 0.3249
12 Pd 0.7635 0.7500 0.6751

E above lowest polymorph ... 113.0 meV per atom
Calculated volume ... 224.6 Å³ per cell
Calculated total energy ... -71.5 eV for the cell shown
DOS(E_F) ... 5.6 states/eV/cell
Symmetry ... No. 62
Energy of formation ... 34.5 kJ per mole of atoms

VASP calculation (GGA-PBE) on an optimized crystal structure of Pm5TlHg2Ir2.

Cell: 3.8037 12.1488 12.1488 Å, 90.00 90.00 90.00°
Fractional coordinates of all 20 atoms:
1 Ir 0.0000 0.6280 0.8720
2 Pm 0.5000 0.0000 0.5000
3 Ir 0.0000 0.3720 0.1280
4 Pm 0.5000 0.5000 0.0000
5 Pm 0.5000 0.2040 0.0883
6 Pm 0.5000 0.2960 0.5883
7 Tl 0.0000 0.5000 0.5000
8 Pm 0.5000 0.9117 0.2040
9 Tl 0.0000 0.0000 0.0000
10 Hg 0.0000 0.6711 0.1711
11 Hg 0.0000 0.8289 0.6711
12 Pm 0.5000 0.4117 0.2960
13 Pm 0.5000 0.7960 0.9117
14 Hg 0.0000 0.1711 0.3289
15 Pm 0.5000 0.0883 0.7960
16 Ir 0.0000 0.8720 0.3720
17 Pm 0.5000 0.7040 0.4117
18 Ir 0.0000 0.1280 0.6280
19 Pm 0.5000 0.5883 0.7040
20 Hg 0.0000 0.3289 0.8289

Calculated volume ... 561.4 Å³ per cell
Calculated total energy ... -97.9 eV for the cell shown
DOS(E_F) ... 17.3 states/eV/cell
Symmetry ... No. 127
Energy of formation ... -43.3 kJ per mole of atoms

VASP calculation (GGA-PBE) on an optimized crystal structure of Cs2Si2Pt.

Cell: 6.5766 6.5766 6.1472 Å, 90.00 90.00 90.00°
Fractional coordinates of all 10 atoms:
1 Pt 0.0000 0.0000 0.0000
2 Cs 0.8101 0.3101 0.5000
3 Si 0.6291 0.1291 0.0000
4 Si 0.3709 0.8709 0.0000
5 Si 0.8709 0.6291 0.0000
6 Pt 0.5000 0.5000 0.0000
7 Si 0.1291 0.3709 0.0000
8 Cs 0.3101 0.1899 0.5000
9 Cs 0.1899 0.6899 0.5000
10 Cs 0.6899 0.8101 0.5000

Calculated volume ... 265.9 Å³ per cell
Calculated total energy ... -36.9 eV for the cell shown
Raw formation energy ... 0.03 eV per atom
DOS(E_F) ... 2.6 states/eV/cell
Symmetry ... No. 127

VASP calculation (GGA-PBE) on an optimized crystal structure of DyEr3Bi.

Cell: 7.9125 7.9125 7.9125 Å, 87.08 114.23 129.83°
Fractional coordinates of all 10 atoms:
1 Er 0.9959 0.8143 0.2406
2 Er 0.9959 0.2553 0.6816
3 Dy 0.5396 0.0324 0.0071
4 Er 0.5738 0.3143 0.3184
5 Dy 0.0253 0.5324 0.9929
6 Er 0.5738 0.7553 0.7594
7 Er 0.1107 0.2870 0.3238
8 Er 0.9632 0.7870 0.6762
9 Bi 0.4544 0.2692 0.6852
10 Bi 0.5840 0.7692 0.3148

Calculated volume ... 330.6 Å³ per cell
Calculated total energy ... -42.7 eV for the cell shown
DOS(E_F) ... 12.5 states/eV/cell
Symmetry ... No. 46
Energy of formation ... 16.2 kJ per mole of atoms